## Pr4Sb2PbSe (PBE-GGA)

Data for crystalline Pr4Sb2PbSe at its relaxed geometry.

Properties
Raw total energy = -5.514 eV/atom
Calculated density = 7011 kg/m³
Formation energy from raw total energies = -1.195 eV/atom
DOS(E_F) = 1.545 states/eV/cell

Cell: 7.811 4.492 7.821 Å, 90.00 109.33 90.00°
Space group P2/m (No. 10)
One atom of each set of equivalent atoms:
Pr1 0.246 0.000 0.246 [2 per cell]
Pr2 0.249 0.500 0.756 [2 per cell]
Sb1 0.500 0.000 0.000 [1 per cell]
Sb2 0.500 0.500 0.500 [1 per cell]
Pb1 0.000 0.000 0.500 [1 per cell]
Se1 0.000 0.500 0.000 [1 per cell]